# GGA-PBE NaAlTeO6, relaxed
# Formation energy without anion corrections, eV/atom: -1.346
# Total energy, eV for the cell shown: -100.14
# Mass density, g/cm3: 3.873
data_NaAlTeO6
_chemical_formula_sum 'Na2 Al2 Te2 O12'
_cell_length_a 5.1321
_cell_length_b 5.1321
_cell_length_c 10.2846
_cell_angle_alpha 90.00
_cell_angle_beta 90.00
_cell_angle_gamma 120.00
_space_group_name_H-M_alt 'P -3 1 c'
_space_group_IT_number 163
_space_group_name_Hall '-P 3 2c'
loop_
_atom_site_label
_atom_site_type_symbol
_atom_site_fract_x
_atom_site_fract_y
_atom_site_fract_z
Na1 Na 0.0000 0.0000 0.0000
Al1 Al 0.3333 0.6667 0.2500
Te1 Te 0.3333 0.6667 0.7500
O1 O 0.0034 0.3646 0.1491

---

# GGA-PBE MnCr2Cl, relaxed
# Formation energy without anion corrections, eV/atom: 0.946
# Total energy, eV for the cell shown: -105.92
# Mass density, g/cm3: 5.023
data_MnCr2Cl
_chemical_formula_sum 'Mn4 Cr8 Cl4'
_cell_length_a 5.318
_cell_length_b 5.318
_cell_length_c 9.087
_cell_angle_alpha 90.00
_cell_angle_beta 90.00
_cell_angle_gamma 90.00
_space_group_name_H-M_alt 'I -4 2 d'
_space_group_IT_number 122
_space_group_name_Hall 'I -4 2bw'
loop_
_atom_site_label
_atom_site_type_symbol
_atom_site_fract_x
_atom_site_fract_y
_atom_site_fract_z
Mn1 Mn 0.000 0.000 0.000
Cr1 Cr 0.239 0.250 0.125
Cl1 Cl 0.000 0.000 0.500

---

# GGA-PBE PrDyMgPb, relaxed
# Calculated formation energy, kJ/mol of formula units: -117
# Total energy, eV for the cell shown: -63.57
# Mass density, g/cm3: 7.755
data_PrDyMgPb
_chemical_formula_sum 'Pr4 Dy4 Mg4 Pb4'
_cell_length_a 7.709
_cell_length_b 7.709
_cell_length_c 7.709
_cell_angle_alpha 90.00
_cell_angle_beta 90.00
_cell_angle_gamma 90.00
_space_group_name_H-M_alt 'F -4 3 m'
_space_group_IT_number 216
_space_group_name_Hall 'F -4 2 3'
loop_
_atom_site_label
_atom_site_type_symbol
_atom_site_fract_x
_atom_site_fract_y
_atom_site_fract_z
Pr1 Pr 0.000 0.000 0.000
Dy1 Dy 0.000 0.000 0.500
Mg1 Mg 0.250 0.250 0.250
Pb1 Pb 0.250 0.250 0.750